## P
The following is a PBE calculation of PmErAsO after structural relaxation, from OQMD.

Cell: 4.286 4.286 9.069 Å, 90.00 90.00 90.00°
Space group P4/nmm (No. 129, origin choice 2)
One atom of each set of equivalent atoms:
Pm  0.250  0.750  0.000 [2 per cell]
Er  0.250  0.250  0.405 [2 per cell]
As  0.250  0.250  0.781 [2 per cell]
O  0.250  0.750  0.500 [2 per cell]

## Properties
total moment	0.02	μB per formula unit

---

## Q
The following is a PBE calculation of PmErAsO after structural relaxation, from OQMD.

Cell: 4.376 4.376 8.951 Å, 90.00 90.00 90.00°
Space group P4/nmm (No. 129, origin choice 2)
One atom of each set of equivalent atoms:
Pm  0.250  0.250  0.109 [2 per cell]
Er  0.250  0.750  0.500 [2 per cell]
As  0.250  0.250  0.698 [2 per cell]
O  0.250  0.750  0.000 [2 per cell]

## Properties
total moment	0.00	μB per formula unit

---

In order of decreasing stability: Q, P.

---

## P
The following is a PBE calculation of ErAsPtO after structural relaxation, from OQMD.

Cell: 4.788 4.509 6.335 Å, 90.00 90.00 90.00°
Space group Pmc2_1 (No. 26)
One atom of each set of equivalent atoms:
Er  0.000  0.222  0.000 [2 per cell]
As  0.500  0.134  0.693 [2 per cell]
Pt  0.500  0.371  0.343 [2 per cell]
O  0.000  0.339  0.340 [2 per cell]

## Properties
total moment	0.00	μB per formula unit

---

## Q
The following is a PBE calculation of ErAsPtO after structural relaxation, from OQMD.

Cell: 4.108 4.108 7.887 Å, 90.00 90.00 90.00°
Space group P4/nmm (No. 129, origin choice 2)
One atom of each set of equivalent atoms:
Er  0.250  0.250  0.125 [2 per cell]
As  0.250  0.250  0.684 [2 per cell]
Pt  0.250  0.750  0.500 [2 per cell]
O  0.250  0.750  0.000 [2 per cell]

## Properties
total moment	0.00	μB per formula unit

---

In order of decreasing stability: Q, P.

---

## P
The following is a PBE calculation of ErAsPtO after structural relaxation, from OQMD.

Cell: 3.565 7.783 5.493 Å, 90.00 90.00 90.00°
Space group Pmc2_1 (No. 26)
One atom of each set of equivalent atoms:
Er  0.000  0.202  0.000 [2 per cell]
As  0.000  0.422  0.500 [2 per cell]
Pt  0.500  0.217  0.502 [2 per cell]
O  0.500  0.064  0.001 [2 per cell]

## Properties
total moment	0.00	μB per formula unit

---

## Q
The following is a PBE calculation of ErAsPtO after structural relaxation, from OQMD.

Cell: 5.859 5.859 4.495 Å, 90.00 90.00 90.00°
Space group P4/nmm (No. 129, origin choice 2)
One atom of each set of equivalent atoms:
Er  0.250  0.750  0.000 [2 per cell]
As  0.250  0.250  0.494 [2 per cell]
Pt  0.250  0.250  0.994 [2 per cell]
O  0.250  0.750  0.500 [2 per cell]

## Properties
total moment	0.00	μB per formula unit

---

In order of decreasing stability: P, Q.

---

## P
The following is a PBE calculation of RbErAsO after structural relaxation, from OQMD.

Cell: 8.256 8.265 5.291 Å, 90.00 90.00 90.00°
Space group Cmme (No. 67)
One atom of each set of equivalent atoms:
Rb  0.000  0.250  0.002 [4 per cell]
Er  0.250  0.000  0.500 [4 per cell]
As  0.000  0.250  0.502 [4 per cell]
O  0.250  0.000  0.000 [4 per cell]

## Properties
total moment	0.00	μB per formula unit

---

## Q
The following is a PBE calculation of RbErAsO after structural relaxation, from OQMD.

Cell: 4.118 4.118 10.869 Å, 90.00 90.00 90.00°
Space group P4/nmm (No. 129, origin choice 2)
One atom of each set of equivalent atoms:
Rb  0.250  0.750  0.000 [2 per cell]
Er  0.250  0.250  0.413 [2 per cell]
As  0.250  0.250  0.760 [2 per cell]
O  0.250  0.750  0.500 [2 per cell]

## Properties
total moment	0.00	μB per formula unit

---

In order of decreasing stability: Q, P.

---

## P
The following is a PBE calculation of RbErAsO after structural relaxation, from OQMD.

Cell: 3.436 8.035 7.951 Å, 90.00 90.00 90.00°
Space group Pmc2_1 (No. 26)
One atom of each set of equivalent atoms:
Rb  0.000  0.052  0.000 [2 per cell]
Er  0.500  0.373  0.358 [2 per cell]
As  0.500  0.304  0.711 [2 per cell]
O  0.000  0.246  0.286 [2 per cell]

## Properties
total moment	0.00	μB per formula unit

---

## Q
The following is a PBE calculation of RbErAsO after structural relaxation, from OQMD.

Cell: 4.733 8.155 6.763 Å, 90.00 90.00 90.00°
Space group Pmc2_1 (No. 26)
One atom of each set of equivalent atoms:
Rb  0.000  0.203  0.000 [2 per cell]
Er  0.500  0.387  0.593 [2 per cell]
As  0.000  0.218  0.492 [2 per cell]
O  0.500  0.413  0.902 [2 per cell]

## Properties
total moment	1.00	μB per formula unit

---

In order of decreasing stability: P, Q.

---

## P
The following is a PBE calculation of ErReAsO after structural relaxation, from OQMD.

Cell: 4.187 6.046 5.524 Å, 90.00 90.00 90.00°
Space group Pmc2_1 (No. 26)
One atom of each set of equivalent atoms:
Er  0.000  0.191  0.000 [2 per cell]
Re  0.500  0.484  0.773 [2 per cell]
As  0.000  0.309  0.510 [2 per cell]
O  0.500  0.230  0.050 [2 per cell]

## Properties
total moment	0.00	μB per formula unit

---

## Q
The following is a PBE calculation of ErReAsO after structural relaxation, from OQMD.

Cell: 3.939 3.939 8.427 Å, 90.00 90.00 90.00°
Space group P4/nmm (No. 129, origin choice 2)
One atom of each set of equivalent atoms:
Er  0.250  0.250  0.126 [2 per cell]
Re  0.250  0.750  0.500 [2 per cell]
As  0.250  0.250  0.687 [2 per cell]
O  0.250  0.750  0.000 [2 per cell]

## Properties
total moment	0.00	μB per formula unit

---

In order of decreasing stability: Q, P.

---

## P
The following is a PBE calculation of ErReAsO after structural relaxation, from OQMD.

Cell: 4.297 4.297 6.729 Å, 90.00 90.00 90.00°
Space group P4/nmm (No. 129, origin choice 2)
One atom of each set of equivalent atoms:
Er  0.250  0.750  0.000 [2 per cell]
Re  0.250  0.250  0.355 [2 per cell]
As  0.250  0.250  0.722 [2 per cell]
O  0.250  0.750  0.500 [2 per cell]

## Properties
total moment	0.01	μB per formula unit

---

## Q
The following is a PBE calculation of ErReAsO after structural relaxation, from OQMD.

Cell: 4.347 4.658 6.325 Å, 90.00 90.00 90.00°
Space group Pmc2_1 (No. 26)
One atom of each set of equivalent atoms:
Er  0.000  0.216  0.000 [2 per cell]
Re  0.500  0.365  0.337 [2 per cell]
As  0.500  0.139  0.691 [2 per cell]
O  0.000  0.365  0.333 [2 per cell]

## Properties
total moment	0.02	μB per formula unit

---

In order of decreasing stability: Q, P.

---

## P
The following is a PBE calculation of ErSbAsO after structural relaxation, from OQMD.

Cell: 4.018 4.018 10.444 Å, 90.00 90.00 90.00°
Space group P4/nmm (No. 129, origin choice 2)
One atom of each set of equivalent atoms:
Er  0.250  0.250  0.097 [2 per cell]
Sb  0.250  0.750  0.500 [2 per cell]
As  0.250  0.250  0.733 [2 per cell]
O  0.250  0.750  0.000 [2 per cell]

## Properties
total moment	0.04	μB per formula unit

---

## Q
The following is a PBE calculation of ErSbAsO after structural relaxation, from OQMD.

Cell: 4.786 4.786 7.266 Å, 90.00 90.00 90.00°
Space group P4/nmm (No. 129, origin choice 2)
One atom of each set of equivalent atoms:
Er  0.250  0.750  0.000 [2 per cell]
Sb  0.250  0.250  0.433 [2 per cell]
As  0.250  0.250  0.810 [2 per cell]
O  0.250  0.750  0.500 [2 per cell]

## Properties
total moment	0.01	μB per formula unit

---

## R
The following is a PBE calculation of ErSbAsO after structural relaxation, from OQMD.

Cell: 5.143 6.010 6.159 Å, 90.00 90.00 90.00°
Space group Pmc2_1 (No. 26)
One atom of each set of equivalent atoms:
Er  0.000  0.180  0.000 [2 per cell]
Sb  0.500  0.239  0.362 [2 per cell]
As  0.500  0.311  0.824 [2 per cell]
O  0.000  0.127  0.339 [2 per cell]

## Properties
total moment	0.00	μB per formula unit

---

In order of decreasing stability: P, R, Q.

---

## P
The following is a PBE calculation of ErSiAsO after structural relaxation, from OQMD.

Cell: 3.933 5.638 6.070 Å, 90.00 90.00 90.00°
Space group Pmc2_1 (No. 26)
One atom of each set of equivalent atoms:
Er  0.000  0.236  0.000 [2 per cell]
Si  0.500  0.372  0.368 [2 per cell]
As  0.500  0.094  0.680 [2 per cell]
O  0.000  0.406  0.336 [2 per cell]

## Properties
total moment	0.00	μB per formula unit

---

## Q
The following is a PBE calculation of ErSiAsO after structural relaxation, from OQMD.

Cell: 3.687 5.967 6.985 Å, 90.00 90.00 90.00°
Space group Pmc2_1 (No. 26)
One atom of each set of equivalent atoms:
Er  0.000  0.241  0.000 [2 per cell]
Si  0.500  0.125  0.609 [2 per cell]
As  0.000  0.274  0.421 [2 per cell]
O  0.500  0.256  0.823 [2 per cell]

## Properties
total moment	0.00	μB per formula unit

---

In order of decreasing stability: Q, P.

---

## P
The following is a PBE calculation of SrErAsO after structural relaxation, from OQMD.

Cell: 5.486 5.486 5.790 Å, 90.00 90.00 90.00°
Space group P4/nmm (No. 129, origin choice 2)
One atom of each set of equivalent atoms:
Sr  0.250  0.250  0.005 [2 per cell]
Er  0.250  0.750  0.500 [2 per cell]
As  0.250  0.250  0.506 [2 per cell]
O  0.250  0.750  0.000 [2 per cell]

## Properties
total moment	0.00	μB per formula unit

---

## Q
The following is a PBE calculation of SrErAsO after structural relaxation, from OQMD.

Cell: 4.047 6.704 7.158 Å, 90.00 90.00 90.00°
Space group Pmc2_1 (No. 26)
One atom of each set of equivalent atoms:
Sr  0.000  0.049  0.000 [2 per cell]
Er  0.500  0.371  0.344 [2 per cell]
As  0.500  0.236  0.720 [2 per cell]
O  0.000  0.260  0.281 [2 per cell]

## Properties
total moment	0.00	μB per formula unit

---

In order of decreasing stability: Q, P.

---

## P
The following is a PBE calculation of SrErAsO after structural relaxation, from OQMD.

Cell: 4.622 7.208 6.459 Å, 90.00 90.00 90.00°
Space group Pmc2_1 (No. 26)
One atom of each set of equivalent atoms:
Sr  0.000  0.202  0.000 [2 per cell]
Er  0.500  0.394  0.610 [2 per cell]
As  0.000  0.228  0.478 [2 per cell]
O  0.500  0.352  0.941 [2 per cell]

## Properties
total moment	0.00	μB per formula unit

---

## Q
The following is a PBE calculation of SrErAsO after structural relaxation, from OQMD.

Cell: 4.364 4.364 9.237 Å, 90.00 90.00 90.00°
Space group P4/nmm (No. 129, origin choice 2)
One atom of each set of equivalent atoms:
Sr  0.250  0.750  0.000 [2 per cell]
Er  0.250  0.250  0.416 [2 per cell]
As  0.250  0.250  0.777 [2 per cell]
O  0.250  0.750  0.500 [2 per cell]

## Properties
total moment	0.00	μB per formula unit

---

In order of decreasing stability: P, Q.

---

## P
The following is a PBE calculation of ErTmAsO after structural relaxation, from OQMD.

Cell: 4.295 4.295 8.605 Å, 90.00 90.00 90.00°
Space group P4/nmm (No. 129, origin choice 2)
One atom of each set of equivalent atoms:
Er  0.250  0.250  0.100 [2 per cell]
Tm  0.250  0.750  0.500 [2 per cell]
As  0.250  0.250  0.705 [2 per cell]
O  0.250  0.750  0.000 [2 per cell]

## Properties
total moment	0.01	μB per formula unit

---

## Q
The following is a PBE calculation of ErTmAsO after structural relaxation, from OQMD.

Cell: 4.286 4.286 8.637 Å, 90.00 90.00 90.00°
Space group P4/nmm (No. 129, origin choice 2)
One atom of each set of equivalent atoms:
Er  0.250  0.750  0.000 [2 per cell]
Tm  0.250  0.250  0.402 [2 per cell]
As  0.250  0.250  0.792 [2 per cell]
O  0.250  0.750  0.500 [2 per cell]

## Properties
total moment	0.01	μB per formula unit

---

In order of decreasing stability: P, Q.